Tl2FeSi: relaxed, PBE-GGA.

Cell: 3.7201 3.6788 6.0619 Å, 90.00 90.00 90.00°
Site moments in Bohr magnetons follow the coordinates.
Fractional coordinates of all 4 atoms:
Fe  0.5000  0.5000  0.2500  2.81
Si  0.5000  0.5000  0.7500  0.00
Tl  0.0000  0.0000  0.0042  -0.02
Tl  0.0000  0.0000  0.4958  -0.02

## Properties
Spin magnetization, Bohr magnetons per cell: 2.702
Formation energy from raw total energies, eV per atom: 0.745
Volume, Å³ per cell: 83.0